Entry 1:
Compound: Ba3Sb2Se7
Source: Alexandria
Functional: PBE
Structure: relaxed

- VASP energy: -4.38 eV per atom

abc: 11.5965 11.5965 13.8201
angles: 73.52 73.52 67.83
Fractional coordinates of all 48 atoms:
Se: 0.5998 0.5729 0.0864
Se: 0.3555 0.1445 0.8605
Se: 0.8514 0.6430 0.3611
Se: 0.4002 0.4271 0.9136
Se: 0.8076 0.3080 0.3645
Se: 0.6430 0.8514 0.8611
Se: 0.8012 0.2957 0.8172
Se: 0.0588 0.1066 0.0897
Se: 0.6044 0.1032 0.6113
Se: 0.6445 0.8555 0.1395
Se: 0.9412 0.8934 0.9103
Se: 0.8968 0.3956 0.8887
Se: 0.2957 0.8012 0.3172
Se: 0.3570 0.1486 0.1389
Se: 0.1924 0.6920 0.6355
Se: 0.1066 0.0588 0.5897
Se: 0.1445 0.3555 0.3605
Se: 0.6920 0.1924 0.1355
Se: 0.3080 0.8076 0.8645
Se: 0.8934 0.9412 0.4103
Se: 0.3956 0.8968 0.3887
Se: 0.8555 0.6445 0.6395
Se: 0.5729 0.5998 0.5864
Se: 0.1988 0.7043 0.1828
Se: 0.4271 0.4002 0.4136
Se: 0.1032 0.6044 0.1113
Se: 0.1486 0.3570 0.6389
Se: 0.7043 0.1988 0.6828
Ba: 0.6057 0.5929 0.8277
Ba: 0.1064 0.0986 0.3268
Ba: 0.6170 0.1169 0.9446
Ba: 0.5929 0.6057 0.3277
Ba: 0.4071 0.3943 0.6723
Ba: 0.3943 0.4071 0.1723
Ba: 0.9014 0.8936 0.1732
Ba: 0.8831 0.3830 0.5554
Ba: 0.3830 0.8831 0.0554
Ba: 0.8936 0.9014 0.6732
Ba: 0.1169 0.6170 0.4446
Ba: 0.0986 0.1064 0.8268
Sb: 0.6867 0.1497 0.4028
Sb: 0.1497 0.6867 0.9028
Sb: 0.7636 0.7085 0.0069
Sb: 0.7085 0.7636 0.5069
Sb: 0.2364 0.2915 0.9931
Sb: 0.2915 0.2364 0.4931
Sb: 0.3133 0.8503 0.5972
Sb: 0.8503 0.3133 0.0972

Entry 2:
Compound: BaSb3Se
Source: Alexandria
Functional: PBE
Structure: relaxed

- Relative energy among the computed polymorphs: 1300.4 meV/atom
- VASP energy: -2.37 eV per atom
- DOS at the Fermi energy: 6.376 states/eV/cell

abc: 6.2913 6.2913 6.2913
angles: 90.00 90.00 90.00
Each line ends with the local moment (μB).
Fractional coordinates of all 5 atoms:
Se: 0.5000 0.5000 0.5000  0.87
Sb: 0.0000 0.5000 0.0000  0.04
Sb: 0.5000 0.0000 0.0000  0.06
Sb: 0.0000 0.0000 0.5000  0.01
Ba: 0.0000 0.0000 0.0000  0.03

Entry 3:
Compound: Ba2SbSe
Source: Alexandria
Functional: PBE
Structure: relaxed

- Relative energy among the computed polymorphs: 322.4 meV/atom
- VASP energy: -3.96 eV per atom
- DOS at the Fermi energy: 3.209 states/eV/cell

abc: 7.2869 7.2869 7.2869
angles: 141.50 141.50 55.59
Fractional coordinates of all 4 atoms:
Se: 0.7500 0.2500 0.5000
Ba: 0.2500 0.7500 0.5000
Ba: 0.0000 0.0000 0.0000
Sb: 0.5000 0.5000 0.0000

Entry 4:
Compound: Ba5SbSe8
Source: Alexandria
Functional: PBE
Structure: relaxed

- VASP energy: -4.28 eV per atom
- DOS at the Fermi energy: 13.369 states/eV/cell

abc: 8.3941 8.3941 8.3941
angles: 111.54 105.41 111.54
Fractional coordinates of all 14 atoms:
Ba: 0.5000 0.0000 0.5000
Ba: 0.8733 0.8738 0.2477
Ba: 0.7523 0.6256 0.6261
Ba: 0.0004 0.3744 0.1267
Ba: 0.3739 0.1262 0.9996
Se: 0.6508 0.4226 0.8855
Se: 0.7717 0.2346 0.3492
Se: 0.2840 0.2848 0.4085
Se: 0.0008 0.1244 0.7160
Se: 0.4629 0.5774 0.2283
Se: 0.1145 0.7654 0.5371
Se: 0.5915 0.8756 0.8764
Se: 0.1236 0.7152 0.9992
Sb: 0.2500 0.5000 0.7500